A) Density functional theory data (PBE) for a geometry-optimized Na2SbH structure.

- M_tot (Bohr magnetons per cell) = 0.70

Structure (CIF):
```
data_Na2SbH
_symmetry_space_group_name_H-M 'P 1'
_symmetry_Int_Tables_number 1
_cell_length_a 5.1156
_cell_length_b 5.1156
_cell_length_c 5.1156
_cell_angle_alpha 60.00
_cell_angle_beta 60.00
_cell_angle_gamma 60.00
loop_
_symmetry_equiv_pos_as_xyz
'x,y,z'
loop_
_atom_site_label
_atom_site_fract_x
_atom_site_fract_y
_atom_site_fract_z
_atom_site_occupancy
Na1 0.2500 0.2500 0.2500 1
Na2 0.7500 0.7500 0.7500 1
Sb1 0.0000 0.0000 0.0000 1
H1 0.5000 0.5000 0.5000 1
```

=====

B) Density functional theory data (PBE) for a geometry-optimized Na2SbH structure.

- M_tot (Bohr magnetons per cell) = 0.00

Structure (CIF):
```
data_Na2SbH
_symmetry_space_group_name_H-M 'P 1'
_symmetry_Int_Tables_number 1
_cell_length_a 3.1935
_cell_length_b 3.1935
_cell_length_c 7.8996
_cell_angle_alpha 90.00
_cell_angle_beta 90.00
_cell_angle_gamma 90.00
loop_
_symmetry_equiv_pos_as_xyz
'x,y,z'
loop_
_atom_site_label
_atom_site_fract_x
_atom_site_fract_y
_atom_site_fract_z
_atom_site_occupancy
Na1 0.0000 0.0000 0.1888 1
Na2 0.0000 0.0000 0.8112 1
Sb1 0.5000 0.5000 0.5000 1
H1 0.5000 0.5000 0.0000 1
```

=====

C) Density functional theory data (PBE) for a geometry-optimized Na2SbH structure.

- M_tot (Bohr magnetons per cell) = 0.00

Structure (CIF):
```
data_Na2SbH
_symmetry_space_group_name_H-M 'P 1'
_symmetry_Int_Tables_number 1
_cell_length_a 8.1604
_cell_length_b 8.1604
_cell_length_c 8.1604
_cell_angle_alpha 24.34
_cell_angle_beta 24.34
_cell_angle_gamma 24.34
loop_
_symmetry_equiv_pos_as_xyz
'x,y,z'
loop_
_atom_site_label
_atom_site_fract_x
_atom_site_fract_y
_atom_site_fract_z
_atom_site_occupancy
Na1 0.2249 0.2249 0.2249 1
Na2 0.7751 0.7751 0.7751 1
Sb1 0.0000 0.0000 0.0000 1
H1 0.5000 0.5000 0.5000 1
```

=====

Least stable of them? A).